VASP calculation (PBE) on a relaxed structure of RbSiHg2Se4.

Calculated values
Final energy (eV per formula unit): -24.76
Energy relative to the elements, uncorrected (meV/atom): -478
Crystal system: orthorhombic
Symmetry: Fmm2 (42)

Cell: 6.860 6.823 7.394 Å, 57.53 57.05 65.42°
Positions (direct):
1 Rb 0.000 0.000 0.000
2 Si 0.498 0.498 0.502
3 Hg 0.233 0.233 0.267
4 Hg 0.733 0.733 0.767
5 Se 0.174 0.542 0.458
6 Se 0.460 0.830 0.540
7 Se 0.542 0.174 0.826
8 Se 0.830 0.460 0.170

---

VASP calculation (PBE) on a relaxed structure of Rb2Si2HgSe6.

Calculated values
Final energy (eV per formula unit): -39.50
Energy relative to the elements, uncorrected (meV/atom): -501
Crystal system: trigonal
Symmetry: R-3m (166)

Cell: 9.127 9.127 9.127 Å, 47.82 47.82 47.82°
Positions (direct):
1 Rb 0.222 0.222 0.222
2 Rb 0.778 0.778 0.778
3 Si 0.416 0.416 0.416
4 Si 0.584 0.584 0.584
5 Hg 0.000 0.000 0.000
6 Se 0.237 0.752 0.752
7 Se 0.248 0.248 0.763
8 Se 0.248 0.763 0.248
9 Se 0.752 0.237 0.752
10 Se 0.752 0.752 0.237
11 Se 0.763 0.248 0.248

---

VASP calculation (PBE) on a relaxed structure of RbSm2HgSe4.

Calculated values
Final energy (eV per formula unit): -35.12
Energy relative to the elements, uncorrected (meV/atom): -1309
Crystal system: orthorhombic
Symmetry: Cmcm (63)

Cell: 7.595 7.595 15.346 Å, 90.00 90.00 146.55°
Positions (direct):
1 Rb 0.127 0.873 0.750
2 Rb 0.873 0.127 0.250
3 Sm 0.375 0.625 0.560
4 Sm 0.375 0.625 0.940
5 Sm 0.625 0.375 0.060
6 Sm 0.625 0.375 0.440
7 Hg 0.160 0.840 0.250
8 Hg 0.840 0.160 0.750
9 Se 0.000 0.000 0.000
10 Se 0.000 0.000 0.500
11 Se 0.261 0.739 0.099
12 Se 0.261 0.739 0.401
13 Se 0.450 0.550 0.750
14 Se 0.550 0.450 0.250
15 Se 0.739 0.261 0.599
16 Se 0.739 0.261 0.901

---

VASP calculation (PBE) on a relaxed structure of RbSnHg2Se.

Calculated values
Final energy (eV per formula unit): -10.52
Energy relative to the elements, uncorrected (meV/atom): -292
Crystal system: tetragonal
Symmetry: P4/mmm (123)

Cell: 5.682 5.682 5.689 Å, 90.00 90.00 90.00°
Positions (direct):
1 Rb 0.000 0.000 0.000
2 Sn 0.500 0.500 0.500
3 Hg 0.000 0.500 0.500
4 Hg 0.500 0.000 0.500
5 Se 0.500 0.500 0.000